[1]
Hg3MoAu | the Alexandria database | GGA-PBE | optimized geometry; symmetry = Pm-3m (221); formation enthalpy at 0 K = 1035 meV/atom
1.0
5.3448 0.0000 0.0000
0.0000 5.3448 0.0000
0.0000 0.0000 5.3448
Au Hg Mo
1 3 1
direct
0.0000 0.0000 0.0000 Au
0.0000 0.0000 0.5000 Hg
0.5000 0.0000 0.0000 Hg
0.0000 0.5000 0.0000 Hg
0.5000 0.5000 0.5000 Mo

[2]
HgMo2Au | the Alexandria database | GGA-PBE | optimized geometry; symmetry = R-3m (166); formation enthalpy at 0 K = 532 meV/atom
1.0
-8.8006 -4.2025 0.4026
-7.9063 -5.3210 -2.1096
-7.1822 -6.5988 0.3813
Mo Au Hg
2 1 1
direct
0.9979 0.9979 0.9979 Mo
0.5021 0.5021 0.5021 Mo
0.2500 0.2500 0.2500 Au
0.7500 0.7500 0.7500 Hg

[3]
HgMo2Au | the Alexandria database | GGA-PBE | optimized geometry; symmetry = P2/m (10); formation enthalpy at 0 K = 435 meV/atom
1.0
-2.2365 -0.8815 3.6916
0.7384 -2.6884 -0.1946
5.3731 -1.6965 2.8501
Au Hg Mo
1 1 2
direct
0.5000 0.2500 0.2500 Au
0.5000 0.7500 0.7500 Hg
0.0000 0.9823 0.0165 Mo
0.0000 0.5177 0.4835 Mo

Q: The lowest formation enthalpy at 0 K belongs to which entry?
A: number 3